1.
First-principles (PBE) data for crystalline TmBePO at its relaxed geometry, as listed in OQMD.

The value obtained for the total magnetic moment is 0.0002 μB per atom. The calculation puts the energy relative to the lowest polymorph listed for this composition at 0.0 meV/atom. The value obtained for the final energy is -6.57 eV/atom.

The space group is P4/nmm (No. 129, origin choice 2) and the conventional cell measures 3.7051, 3.7051 and 8.2755 Å, with angles of 90.00, 90.00 and 90.00 degrees. Symmetry generates all atoms from Tm at (0.2500, 0.2500, 0.1369), Be at (0.2500, 0.7500, 0.5000), P at (0.2500, 0.2500, 0.6524) and O at (0.2500, 0.7500, 0.0000).


2.
First-principles (PBE) data for crystalline TmBePO at its relaxed geometry, as listed in OQMD.

The value obtained for the total magnetic moment is 0.0005 μB per atom. The calculation puts the energy relative to the lowest polymorph listed for this composition at 328.6 meV/atom. The value obtained for the final energy is -6.24 eV/atom.

The space group is Pmc2_1 (No. 26) and the conventional cell measures 3.0837, 5.6030 and 6.4718 Å, with angles of 90.00, 90.00 and 90.00 degrees. Symmetry generates all atoms from Tm at (0.0000, 0.2213, 0.0000), Be at (0.5000, 0.2593, 0.3783), P at (0.5000, 0.4079, 0.6838) and O at (0.0000, 0.1220, 0.3354).


3.
First-principles (PBE) data for crystalline BeZnPO at its relaxed geometry, as listed in OQMD.

The calculation puts the energy relative to the lowest polymorph listed for this composition at 42.7 meV/atom. The value obtained for the final energy is -4.81 eV/atom.

The space group is Pmc2_1 (No. 26) and the conventional cell measures 2.9351, 6.4072 and 5.3002 Å, with angles of 90.00, 90.00 and 90.00 degrees. Symmetry generates all atoms from Be at (0.0000, 0.0965, 0.0000), Zn at (0.5000, 0.3017, 0.4017), P at (0.5000, 0.3368, 0.8434) and O at (0.0000, 0.0902, 0.3021).


4.
First-principles (PBE) data for crystalline BeZnPO at its relaxed geometry, as listed in OQMD.

The calculation puts the energy relative to the lowest polymorph listed for this composition at 186.2 meV/atom. The value obtained for the final energy is -4.67 eV/atom.

The space group is P4/nmm (No. 129, origin choice 2) and the conventional cell measures 3.4778, 3.4778 and 8.7458 Å, with angles of 90.00, 90.00 and 90.00 degrees. Symmetry generates all atoms from Be at (0.2500, 0.2500, 0.0133), Zn at (0.2500, 0.7500, 0.5000), P at (0.2500, 0.2500, 0.3082) and O at (0.2500, 0.7500, 0.0000).


5.
First-principles (PBE) data for crystalline BeZnPO at its relaxed geometry, as listed in OQMD.

The calculation puts the energy relative to the lowest polymorph listed for this composition at 650.3 meV/atom. The value obtained for the final energy is -4.21 eV/atom.

The space group is P4/nmm (No. 129, origin choice 2) and the conventional cell measures 3.7520, 3.7520 and 7.9826 Å, with angles of 90.00, 90.00 and 90.00 degrees. Symmetry generates all atoms from Be at (0.2500, 0.7500, 0.0000), Zn at (0.2500, 0.2500, 0.4221), P at (0.2500, 0.2500, 0.8552) and O at (0.2500, 0.7500, 0.5000).


6.
First-principles (PBE) data for crystalline BeZnPO at its relaxed geometry, as listed in OQMD.

The calculation puts the energy relative to the lowest polymorph listed for this composition at 0.0 meV/atom. The value obtained for the final energy is -4.86 eV/atom.

The space group is Pmc2_1 (No. 26) and the conventional cell measures 2.7007, 6.1786 and 5.8768 Å, with angles of 90.00, 90.00 and 90.00 degrees. Symmetry generates all atoms from Be at (0.0000, 0.2182, 0.0000), Zn at (0.5000, 0.3596, 0.5833), P at (0.0000, 0.1193, 0.3607) and O at (0.5000, 0.3443, 0.9286).


7.
First-principles (PBE) data for crystalline BeZnPO at its relaxed geometry, as listed in OQMD.

The calculation puts the energy relative to the lowest polymorph listed for this composition at 173.7 meV/atom. The value obtained for the final energy is -4.68 eV/atom.

The space group is P4/nmm (No. 129, origin choice 2) and the conventional cell measures 3.4595, 3.4595 and 9.0850 Å, with angles of 90.00, 90.00 and 90.00 degrees. Symmetry generates all atoms from Be at (0.2500, 0.2500, 0.0095), Zn at (0.2500, 0.7500, 0.5000), P at (0.2500, 0.2500, 0.3121) and O at (0.2500, 0.7500, 0.0000).


8.
First-principles (PBE) data for crystalline Pa2BeO4 at its relaxed geometry, as listed in OQMD.

The value obtained for the total magnetic moment is 0.2813 μB per atom. The value obtained for the final energy is -8.05 eV/atom.

The space group is Fd-3m (No. 227, origin choice 2) and the conventional cell measures 9.0536, 9.0536 and 9.0536 Å, with angles of 90.00, 90.00 and 90.00 degrees. Symmetry generates all atoms from Pa at (0.0000, 0.0000, 0.0000), Be at (0.1250, 0.1250, 0.6250) and O at (0.0151, 0.0151, 0.7349).


9.
First-principles (PBE) data for crystalline PaBeO3 at its relaxed geometry, as listed in OQMD.

The value obtained for the total magnetic moment is 0.1999 μB per atom. The value obtained for the final energy is -8.02 eV/atom.

The space group is P4mm (No. 99) and the conventional cell measures 3.5661, 3.5661 and 3.6872 Å, with angles of 90.00, 90.00 and 90.00 degrees. Symmetry generates all atoms from Pa at (0.0000, 0.0000, 0.0000), Be at (0.5000, 0.5000, 0.4918), O at (0.0000, 0.5000, 0.5080) and O at (0.5000, 0.5000, 0.0107).


10.
First-principles (PBE) data for crystalline PaBeO3 at its relaxed geometry, as listed in OQMD.

The value obtained for the total magnetic moment is 0.2000 μB per atom. The value obtained for the final energy is -8.17 eV/atom.

The space group is Pnma (No. 62) and the conventional cell measures 5.1676, 7.2967 and 5.0848 Å, with angles of 90.00, 90.00 and 90.00 degrees. Symmetry generates all atoms from Pa at (0.0138, 0.2500, 0.0015), Be at (0.0000, 0.0000, 0.5000), O at (0.0018, 0.7500, 0.4589) and O at (0.2277, 0.5212, 0.7730).


11.
First-principles (PBE) data for crystalline PaBeO3 at its relaxed geometry, as listed in OQMD.

The value obtained for the total magnetic moment is 0.2000 μB per atom. The value obtained for the final energy is -7.97 eV/atom.

The space group is R-3 (No. 148, hexagonal axes) and the conventional cell measures 5.4140, 5.4140 and 14.8664 Å, with angles of 90.00, 90.00 and 120.00 degrees. Symmetry generates all atoms from Pa at (0.0000, 0.0000, 0.1315), Be at (0.0000, 0.0000, 0.4081) and O at (0.0166, 0.4075, 0.0886).


12.
First-principles (PBE) data for crystalline PaBeO3 at its relaxed geometry, as listed in OQMD.

The value obtained for the total magnetic moment is 0.2000 μB per atom. The value obtained for the final energy is -8.16 eV/atom.

The space group is R-3c (No. 167, hexagonal axes) and the conventional cell measures 5.1246, 5.1246 and 12.3933 Å, with angles of 90.00, 90.00 and 120.00 degrees. Symmetry generates all atoms from Pa at (0.0000, 0.0000, 0.2500), Be at (0.0000, 0.0000, 0.0000) and O at (0.0000, 0.4827, 0.2500).